(1)
Compound: Sr2YAgS4
Source: the Alexandria database
Functional: GGA-PBE
Structure: relaxed

Calculated values
Its raw formation energy is -1.67 eV/atom. The calculation puts the density at 4.22 g/cm3. The calculation puts the total energy at -5.32 eV/atom.

Lattice parameters (Å, degrees): 7.079 4.130 7.170 90.00 110.05 90.00
Element x y z (fractional)
Sr 0.000 0.000 0.000
Sr 0.000 0.500 0.500
Y 0.500 0.000 0.500
Ag 0.500 0.500 0.000
S 0.267 0.500 0.268
S 0.272 0.000 0.747
S 0.728 0.000 0.253
S 0.733 0.500 0.732

(2)
Compound: NdY2Ho2Mg5
Source: the Alexandria database
Functional: GGA-PBE
Structure: relaxed

Calculated values
The formation energy is 76 meV/atom. The calculation puts the density at 4.43 g/cm3. The calculation puts the total energy at -3.41 eV/atom. For the density of states at the Fermi level, the calculation gives 1.0283 states/eV per atom.

Lattice parameters (Å, degrees): 10.647 10.647 5.114 90.00 90.00 90.00
Element x y z (fractional)
Nd 0.000 0.000 0.000
Nd 0.500 0.500 0.000
Y 0.178 0.322 0.000
Y 0.322 0.822 0.000
Y 0.678 0.178 0.000
Y 0.822 0.678 0.000
Ho 0.118 0.618 0.000
Ho 0.382 0.118 0.000
Ho 0.618 0.882 0.000
Ho 0.882 0.382 0.000
Mg 0.000 0.500 0.500
Mg 0.075 0.802 0.500
Mg 0.198 0.075 0.500
Mg 0.302 0.575 0.500
Mg 0.425 0.302 0.500
Mg 0.500 0.000 0.500
Mg 0.575 0.698 0.500
Mg 0.698 0.425 0.500
Mg 0.802 0.925 0.500
Mg 0.925 0.198 0.500

(3)
Compound: YC
Source: the Alexandria database
Functional: GGA-PBE
Structure: relaxed

Calculated values
The formation energy is 237 meV/atom. The calculation puts the density at 5.26 g/cm3. The value obtained for the excess energy over the best structure of this formula in the dataset is 452 meV/atom. The calculation puts the total energy at -7.61 eV/atom. For the density of states at the Fermi level, the calculation gives 0.4951 states/eV per atom.

Lattice parameters (Å, degrees): 5.254 5.254 3.747 90.00 90.00 141.97
Element x y z (fractional)
Y 0.129 0.871 0.750
Y 0.871 0.129 0.250
C 0.382 0.618 0.750
C 0.618 0.382 0.250

(4)
Compound: La3Pm4Ho
Source: the Alexandria database
Functional: GGA-PBE
Structure: relaxed

Calculated values
The formation energy is 1 meV/atom. The calculation puts the density at 6.92 g/cm3. The value obtained for the excess energy over the best structure of this formula in the dataset is 0 meV/atom. The calculation puts the total energy at -4.79 eV/atom. For the density of states at the Fermi level, the calculation gives 1.2597 states/eV per atom.

Lattice parameters (Å, degrees): 11.875 6.365 7.379 90.00 90.00 90.00
Element x y z (fractional)
La 0.000 0.168 0.000
La 0.248 0.998 0.751
La 0.252 0.002 0.251
La 0.500 0.832 0.500
La 0.748 0.002 0.251
La 0.752 0.998 0.751
Pm 0.000 0.167 0.501
Pm 0.000 0.669 0.250
Pm 0.249 0.499 0.500
Pm 0.251 0.501 0.000
Pm 0.500 0.331 0.750
Pm 0.500 0.833 0.001
Pm 0.749 0.501 0.000
Pm 0.751 0.499 0.500
Ho 0.000 0.667 0.749
Ho 0.500 0.333 0.249

(5)
Compound: MgTe2W
Source: the Alexandria database
Functional: GGA-PBE
Structure: relaxed

Calculated values
Its raw formation energy is 0.29 eV/atom. The calculation puts the density at 8.25 g/cm3. The calculation puts the total energy at -4.92 eV/atom. For the density of states at the Fermi level, the calculation gives 0.6639 states/eV per atom.

Lattice parameters (Å, degrees): 4.413 4.413 6.623 102.03 102.03 47.98
Element x y z (fractional)
Mg 0.000 0.000 0.000
Te 0.240 0.240 0.720
Te 0.760 0.760 0.280
W 0.500 0.500 0.500

(6)
Compound: Mg4Si3
Source: the Alexandria database
Functional: GGA-PBE
Structure: relaxed

Calculated values
Its raw formation energy is 0.10 eV/atom. The calculation puts the density at 2.06 g/cm3. The value obtained for the excess energy over the best structure of this formula in the dataset is 133 meV/atom. The calculation puts the total energy at -3.13 eV/atom. For the density of states at the Fermi level, the calculation gives 0.2799 states/eV per atom.

Lattice parameters (Å, degrees): 5.620 7.518 7.809 102.10 96.22 111.87
Element x y z (fractional)
Mg 0.000 0.000 0.000
Mg 0.023 0.485 0.506
Mg 0.097 0.729 0.216
Mg 0.335 0.781 0.877
Mg 0.366 0.199 0.424
Mg 0.634 0.279 0.105
Mg 0.716 0.534 0.799
Mg 0.753 0.006 0.354
Si 0.120 0.896 0.574
Si 0.174 0.384 0.189
Si 0.550 0.122 0.743
Si 0.554 0.632 0.107
Si 0.595 0.585 0.407
Si 0.710 0.867 0.661

(7)
Compound: Nd6Os2O
Source: the Alexandria database
Functional: GGA-PBE
Structure: relaxed

Calculated values
Its raw formation energy is -0.68 eV/atom. The calculation puts the density at 8.87 g/cm3. The calculation puts the total energy at -6.91 eV/atom. For the density of states at the Fermi level, the calculation gives 0.8080 states/eV per atom.

Lattice parameters (Å, degrees): 6.619 7.407 11.570 90.00 123.65 90.00
Element x y z (fractional)
Nd 0.119 0.046 0.245
Nd 0.119 0.454 0.745
Nd 0.236 0.682 0.065
Nd 0.236 0.818 0.565
Nd 0.377 0.167 0.061
Nd 0.377 0.333 0.561
Nd 0.623 0.667 0.439
Nd 0.623 0.833 0.939
Nd 0.764 0.182 0.435
Nd 0.764 0.318 0.935
Nd 0.881 0.546 0.255
Nd 0.881 0.954 0.755
Os 0.292 0.103 0.754
Os 0.292 0.397 0.254
Os 0.708 0.603 0.746
Os 0.708 0.897 0.246
O 0.000 0.000 0.000
O 0.000 0.500 0.500

(8)
Compound: DyY3Sc
Source: the Alexandria database
Functional: GGA-PBE
Structure: relaxed

Calculated values
The formation energy is 172 meV/atom. The calculation puts the density at 4.96 g/cm3. The calculation puts the total energy at -5.89 eV/atom. For the density of states at the Fermi level, the calculation gives 1.5825 states/eV per atom.

Lattice parameters (Å, degrees): 8.816 8.816 10.505 90.00 90.00 157.11
Element x y z (fractional)
Dy 0.147 0.853 0.750
Dy 0.853 0.147 0.250
Y 0.000 0.000 0.000
Y 0.000 0.000 0.500
Y 0.327 0.673 0.561
Y 0.327 0.673 0.939
Y 0.673 0.327 0.061
Y 0.673 0.327 0.439
Sc 0.478 0.522 0.750
Sc 0.522 0.478 0.250

(9)
Compound: LaDy4Th2
Source: the Alexandria database
Functional: GGA-PBE
Structure: relaxed

Calculated values
The formation energy is 793 meV/atom. The calculation puts the density at 7.97 g/cm3. The value obtained for the excess energy over the best structure of this formula in the dataset is 662 meV/atom. The calculation puts the total energy at -4.66 eV/atom. For the density of states at the Fermi level, the calculation gives 1.7281 states/eV per atom.

Lattice parameters (Å, degrees): 9.197 9.197 9.197 144.49 144.49 51.09
Element x y z (fractional)
La 0.000 0.000 0.000
Dy 0.000 0.500 0.500
Dy 0.181 0.181 0.000
Dy 0.500 0.000 0.500
Dy 0.819 0.819 0.000
Th 0.386 0.386 0.000
Th 0.614 0.614 0.000

(10)
Compound: Sm2CoSi4Ir3
Source: the Alexandria database
Functional: GGA-PBE
Structure: relaxed

Calculated values
Its raw formation energy is -0.95 eV/atom. The calculation puts the density at 10.35 g/cm3. The calculation puts the total energy at -7.43 eV/atom. For the density of states at the Fermi level, the calculation gives 0.5957 states/eV per atom.

Lattice parameters (Å, degrees): 4.129 4.129 9.872 90.00 90.00 90.00
Element x y z (fractional)
Sm 0.000 0.500 0.249
Sm 0.500 0.000 0.751
Co 0.000 0.000 0.500
Si 0.000 0.000 0.000
Si 0.000 0.500 0.626
Si 0.500 0.000 0.374
Si 0.500 0.500 0.000
Ir 0.000 0.500 0.871
Ir 0.500 0.000 0.129
Ir 0.500 0.500 0.500

(11)
Compound: Mn2MoPt
Source: the Alexandria database
Functional: GGA-PBE
Structure: relaxed

Calculated values
The formation energy is -94 meV/atom. The calculation puts the density at 11.65 g/cm3. The calculation puts the total energy at -8.90 eV/atom. For the density of states at the Fermi level, the calculation gives 0.9911 states/eV per atom.

Lattice parameters (Å, degrees): 4.876 4.876 4.876 134.97 134.97 65.58
Element x y z (fractional)
Mn 0.000 0.000 0.000
Mn 0.750 0.250 0.500
Mo 0.250 0.750 0.500
Pt 0.500 0.500 0.000

(12)
Compound: Pm2Pr3ScS6
Source: the Alexandria database
Functional: GGA-PBE
Structure: relaxed

Calculated values
Its raw formation energy is -1.98 eV/atom. The calculation puts the density at 5.73 g/cm3. The calculation puts the total energy at -6.55 eV/atom. For the density of states at the Fermi level, the calculation gives 0.4656 states/eV per atom.

Lattice parameters (Å, degrees): 8.983 8.983 8.108 103.49 103.49 25.68
Element x y z (fractional)
Pm 0.166 0.166 0.333
Pm 0.834 0.834 0.667
Pr 0.170 0.170 0.835
Pr 0.500 0.500 0.500
Pr 0.830 0.830 0.165
Sc 0.500 0.500 0.000
S 0.001 0.001 0.773
S 0.332 0.332 0.420
S 0.343 0.343 0.917
S 0.657 0.657 0.083
S 0.668 0.668 0.580
S 0.999 0.999 0.227